TcPPd2: relaxed, PBE-GGA.

The structure in extended XYZ format:
```
8
Lattice="-1.825 1.825 9.322 1.825 -1.825 9.322 1.825 1.825 -9.322" Properties=species:S:1:pos:R:3 pbc="T T T"
Tc 0.000 0.000 0.000
Tc 0.000 1.825 4.661
P 1.825 0.000 4.661
P 0.000 0.000 9.322
Pd 0.913 -0.900 6.992
Pd 0.925 0.913 2.331
Pd 0.913 2.725 -2.331
Pd 0.900 0.913 11.653
```

Space group: I-42d
Formation energy from the elements in eV/atom: 0.229